Density functional theory data (PBE) for an optimized crystal structure of Ce2Ge3AsRh4.

Computed properties:
As for the space group: No. 115.

Lattice parameters (Å, degrees): 4.284 4.284 9.991 90.00 90.00 90.00
Element x y z (fractional)
Ge 0.000 0.500 0.131
Ge 0.500 0.000 0.869
Ge 0.000 0.000 0.500
Ce 0.000 0.500 0.744
Ce 0.500 0.000 0.256
Rh 0.500 0.000 0.625
Rh 0.000 0.500 0.375
Rh 0.500 0.500 0.000
Rh 0.000 0.000 0.000
As 0.500 0.500 0.500

Density functional theory data (PBE) for an optimized crystal structure of Ce2GeAsRh6.

Computed properties:
As for the space group: No. 59.

Lattice parameters (Å, degrees): 5.484 8.063 8.566 90.00 90.00 90.00
Element x y z (fractional)
Rh 0.254 0.511 0.000
Rh 0.749 0.991 0.500
Rh 0.751 0.009 0.000
Rh 0.500 0.097 0.750
Rh 0.249 0.009 0.000
Rh 0.251 0.991 0.500
Rh 0.000 0.903 0.750
Rh 0.746 0.511 0.000
Rh 0.246 0.489 0.500
Rh 0.754 0.489 0.500
Rh 0.000 0.903 0.250
Rh 0.500 0.097 0.250
As 0.000 0.751 0.000
As 0.500 0.249 0.500
Ce 0.500 0.729 0.257
Ce 0.000 0.271 0.757
Ce 0.000 0.271 0.243
Ce 0.500 0.729 0.743
Ge 0.000 0.737 0.500
Ge 0.500 0.263 0.000

Going through the records in order, we get DFT formation energy values of -0.874, -0.618 eV/atom.
Going through the records in order, we get energy values of -6.85, -7.14 eV/atom.